1.
# CoBH, optimized geometry, DFT PBE
data_CoBH
_chemical_formula_sum 'Co4 B4 H4'
_cell_length_a 2.500
_cell_length_b 2.500
_cell_length_c 14.722
_cell_angle_alpha 90.00
_cell_angle_beta 90.00
_cell_angle_gamma 90.00
_symmetry_space_group_name_H-M 'I 4/m m m'
_symmetry_Int_Tables_number 139
_symmetry_space_group_name_Hall '-I 4 2'
loop_
_atom_site_label
_atom_site_fract_x
_atom_site_fract_y
_atom_site_fract_z
Co1 0.000 0.000 0.145
B1 0.000 0.000 0.283
H1 0.000 0.000 0.407
# Crystal system: tetragonal


2.
# InGe2Pt, optimized geometry, DFT PBE
data_InGe2Pt
_chemical_formula_sum 'In4 Ge8 Pt4'
_cell_length_a 4.539
_cell_length_b 4.539
_cell_length_c 16.536
_cell_angle_alpha 90.00
_cell_angle_beta 90.00
_cell_angle_gamma 90.00
_symmetry_space_group_name_H-M 'I -4 2 d'
_symmetry_Int_Tables_number 122
_symmetry_space_group_name_Hall 'I -4 2bw'
loop_
_atom_site_label
_atom_site_fract_x
_atom_site_fract_y
_atom_site_fract_z
In1 0.000 0.000 0.000
Ge1 0.184 0.250 0.625
Pt1 0.000 0.000 0.500
# Calculated formation energy (meV/atom): -23.6
# Crystal system: tetragonal


3.
# LiLaNdMn, optimized geometry, DFT PBE
data_LiLaNdMn
_chemical_formula_sum 'Li4 La4 Nd4 Mn4'
_cell_length_a 7.442
_cell_length_b 7.442
_cell_length_c 7.442
_cell_angle_alpha 90.00
_cell_angle_beta 90.00
_cell_angle_gamma 90.00
_symmetry_space_group_name_H-M 'F -4 3 m'
_symmetry_Int_Tables_number 216
_symmetry_space_group_name_Hall 'F -4 2 3'
loop_
_atom_site_label
_atom_site_fract_x
_atom_site_fract_y
_atom_site_fract_z
Li1 0.000 0.000 0.000
La1 0.250 0.250 0.250
Nd1 0.250 0.250 0.750
Mn1 0.000 0.000 0.500
# Calculated formation energy (meV/atom): 172.3
# Crystal system: cubic


The calculation returns the following electronic total energy values, one per record and in order: -65.731 -72.433 -80.359 eV for the cell shown.
The calculation returns the following calculated volume values, one per record and in order: 92.0 340.6 412.2 Å³/cell.